A.
A geometry-optimized Zr5P4 structure, computed with GGA-PBE.

Properties
* space-group type: No. 139
* size of the total moment: 0.00 μB per formula unit

Cell and atoms, written as POSCAR:
```
Zr5P4
1.0
-5.377 5.377 1.800
5.377 -5.377 1.800
5.377 5.377 -1.800
Zr P
5 4
direct
0.000 0.000 0.000
0.336 0.336 0.672
0.336 0.664 0.000
0.664 0.336 0.000
0.664 0.664 0.328
0.000 0.248 0.248
0.000 0.752 0.752
0.248 0.000 0.248
0.752 0.000 0.752
```

B.
A geometry-optimized Zr5P4 structure, computed with GGA-PBE.

Properties
* space-group type: No. 193
* size of the total moment: 0.00 μB per formula unit

Cell and atoms, written as POSCAR:
```
Zr5P4
1.0
8.009 0.000 0.000
-4.004 6.936 0.000
0.000 0.000 5.686
Zr P
10 8
direct
0.000 0.268 0.250
0.000 0.732 0.750
0.268 0.000 0.250
0.268 0.268 0.750
0.333 0.667 0.000
0.333 0.667 0.500
0.667 0.333 0.000
0.667 0.333 0.500
0.732 0.000 0.750
0.732 0.732 0.250
0.000 0.000 0.000
0.000 0.000 0.500
0.000 0.397 0.750
0.000 0.603 0.250
0.397 0.000 0.750
0.397 0.397 0.250
0.603 0.000 0.250
0.603 0.603 0.750
```

It is A that is the least stable of them.

A.
A geometry-optimized Zr4P5 structure, computed with GGA-PBE.

Properties
* space-group type: No. 193
* size of the total moment: 0.00 μB per formula unit

Cell and atoms, written as POSCAR:
```
Zr4P5
1.0
8.152 0.000 0.000
-4.076 7.060 0.000
0.000 0.000 5.438
Zr P
8 10
direct
0.000 0.000 0.000
0.000 0.000 0.500
0.000 0.379 0.250
0.000 0.621 0.750
0.379 0.000 0.250
0.379 0.379 0.750
0.621 0.000 0.750
0.621 0.621 0.250
0.000 0.282 0.750
0.000 0.718 0.250
0.282 0.000 0.750
0.282 0.282 0.250
0.333 0.667 0.000
0.333 0.667 0.500
0.667 0.333 0.000
0.667 0.333 0.500
0.718 0.000 0.250
0.718 0.718 0.750
```

B.
A geometry-optimized Zr4P5 structure, computed with GGA-PBE.

Properties
* space-group type: No. 139
* size of the total moment: 0.00 μB per formula unit

Cell and atoms, written as POSCAR:
```
Zr4P5
1.0
-4.577 4.577 1.950
4.577 -4.577 1.950
4.577 4.577 -1.950
Zr P
4 5
direct
0.000 0.275 0.275
0.000 0.725 0.725
0.275 0.000 0.275
0.725 0.000 0.725
0.000 0.000 0.000
0.307 0.307 0.615
0.307 0.693 0.000
0.693 0.307 0.000
0.693 0.693 0.385
```

It is B that is the least stable of them.

A.
A geometry-optimized Zr3P4 structure, computed with GGA-PBE.

Properties
* space-group type: No. 139
* size of the total moment: 0.00 μB per formula unit

Cell and atoms, written as POSCAR:
```
Zr3P4
1.0
-1.796 1.796 10.190
1.796 -1.796 10.190
1.796 1.796 -10.190
Zr P
3 4
direct
0.000 0.000 0.000
0.305 0.305 0.000
0.695 0.695 0.000
0.170 0.170 0.000
0.443 0.443 0.000
0.557 0.557 0.000
0.830 0.830 0.000
```

B.
A geometry-optimized Zr3P4 structure, computed with GGA-PBE.

Properties
* space-group type: No. 191
* size of the total moment: 0.00 μB per formula unit

Cell and atoms, written as POSCAR:
```
Zr3P4
1.0
5.902 0.000 0.000
-2.951 5.111 0.000
0.000 0.000 4.299
Zr P
3 4
direct
0.000 0.500 0.000
0.500 0.000 0.000
0.500 0.500 0.000
0.000 0.000 0.255
0.000 0.000 0.745
0.333 0.667 0.500
0.667 0.333 0.500
```

It is B that is the least stable of them.

A.
A geometry-optimized PaPb3 structure, computed with GGA-PBE.

Properties
* space-group type: No. 44
* size of the total moment: 0.97 μB per formula unit

Cell and atoms, written as POSCAR:
```
PaPb3
1.0
-1.707 5.677 2.952
1.707 -5.677 2.952
1.707 5.677 -2.952
Pa Pb
1 3
direct
0.000 0.000 0.000
0.429 0.682 0.746
0.509 0.009 0.500
0.936 0.682 0.254
```

B.
A geometry-optimized PaPb3 structure, computed with GGA-PBE.

Properties
* space-group type: No. 221
* size of the total moment: 0.00 μB per formula unit

Cell and atoms, written as POSCAR:
```
PaPb3
1.0
4.812 0.000 0.000
0.000 4.812 0.000
0.000 0.000 4.812
Pa Pb
1 3
direct
0.000 0.000 0.000
0.000 0.500 0.500
0.500 0.000 0.500
0.500 0.500 0.000
```

It is A that is the least stable of them.

A.
A geometry-optimized PaPd2Pb structure, computed with GGA-PBE.

Properties
* space-group type: No. 225
* size of the total moment: 0.01 μB per formula unit

Cell and atoms, written as POSCAR:
```
PaPd2Pb
1.0
0.000 3.470 3.470
3.470 0.000 3.470
3.470 3.470 0.000
Pa Pd Pb
1 2 1
direct
0.000 0.000 0.000
0.250 0.250 0.250
0.750 0.750 0.750
0.500 0.500 0.500
```

B.
A geometry-optimized PaPd2Pb structure, computed with GGA-PBE.

Properties
* space-group type: No. 123
* size of the total moment: 0.03 μB per formula unit

Cell and atoms, written as POSCAR:
```
PaPd2Pb
1.0
3.318 0.000 0.000
0.000 3.318 0.000
0.000 0.000 7.733
Pa Pd Pb
1 2 1
direct
0.000 0.000 0.000
0.500 0.500 0.239
0.500 0.500 0.761
0.000 0.000 0.500
```

It is B that is the least stable of them.

A.
A geometry-optimized PaPd4Pb structure, computed with GGA-PBE.

Properties
* space-group type: No. 216
* size of the total moment: 0.00 μB per formula unit

Cell and atoms, written as POSCAR:
```
PaPd4Pb
1.0
0.000 3.836 3.836
3.836 0.000 3.836
3.836 3.836 0.000
Pa Pd Pb
1 4 1
direct
0.000 0.000 0.000
0.124 0.625 0.625
0.625 0.124 0.625
0.625 0.625 0.124
0.625 0.625 0.625
0.250 0.250 0.250
```

B.
A geometry-optimized PaPd4Pb structure, computed with GGA-PBE.

Properties
* space-group type: No. 11
* size of the total moment: 0.00 μB per formula unit

Cell and atoms, written as POSCAR:
```
PaPd4Pb
1.0
5.937 0.000 0.000
0.000 5.778 0.000
-2.352 0.000 6.812
Pa Pd Pb
2 8 2
direct
0.213 0.250 0.434
0.787 0.750 0.566
0.198 0.750 0.863
0.243 0.750 0.480
0.450 0.509 0.219
0.450 0.991 0.219
0.550 0.009 0.781
0.550 0.491 0.781
0.757 0.250 0.520
0.802 0.250 0.137
0.100 0.250 0.889
0.900 0.750 0.111
```

It is A that is the least stable of them.

A.
A geometry-optimized Pr2PaPb structure, computed with GGA-PBE.

Properties
* space-group type: No. 123
* size of the total moment: 0.01 μB per formula unit

Cell and atoms, written as POSCAR:
```
Pr2PaPb
1.0
5.032 0.000 0.000
0.000 5.032 0.000
0.000 0.000 4.669
Pr Pa Pb
2 1 1
direct
0.000 0.500 0.000
0.500 0.000 0.000
0.000 0.000 0.500
0.500 0.500 0.500
```

B.
A geometry-optimized Pr2PaPb structure, computed with GGA-PBE.

Properties
* space-group type: No. 123
* size of the total moment: 0.00 μB per formula unit

Cell and atoms, written as POSCAR:
```
Pr2PaPb
1.0
4.017 0.000 0.000
0.000 4.017 0.000
0.000 0.000 7.422
Pr Pa Pb
2 1 1
direct
0.000 0.000 0.236
0.000 0.000 0.764
0.500 0.500 0.500
0.500 0.500 0.000
```

It is B that is the least stable of them.

A.
A geometry-optimized PrPaPb structure, computed with GGA-PBE.

Properties
* space-group type: No. 63
* size of the total moment: 0.00 μB per formula unit

Cell and atoms, written as POSCAR:
```
PrPaPb
1.0
1.695 -9.105 0.000
1.695 9.105 0.000
0.000 0.000 5.948
Pr Pa Pb
2 2 2
direct
0.160 0.840 0.750
0.840 0.160 0.250
0.500 0.500 0.000
0.500 0.500 0.500
0.342 0.658 0.750
0.658 0.342 0.250
```

B.
A geometry-optimized PrPaPb structure, computed with GGA-PBE.

Properties
* space-group type: No. 187
* size of the total moment: 0.45 μB per formula unit

Cell and atoms, written as POSCAR:
```
PrPaPb
1.0
5.412 0.000 0.000
-2.706 4.687 0.000
0.000 0.000 3.306
Pr Pa Pb
1 1 1
direct
0.000 0.000 0.000
0.333 0.667 0.000
0.667 0.333 0.500
```

It is B that is the least stable of them.